(1)
VASP calculation (PBE) on a relaxed Nd3Th5S8 crystal.

The space group is R-3m (No. 166, hexagonal axes) and the conventional cell measures 8.0738, 8.0738 and 19.9494 Å, with angles of 90.00, 90.00 and 120.00 degrees. Symmetry generates all atoms from Nd at (0.0000, 0.5000, 0.0000), Th at (0.0000, 0.0000, 0.0000), Th at (0.0000, 0.0000, 0.5000), Th at (0.0000, 0.5000, 0.5000), S at (0.0000, 0.0000, 0.2500) and S at (0.0004, 0.5002, 0.2503).

Its uncorrected formation energy is -1.905 eV per atom.


(2)
VASP calculation (PBE) on a relaxed Ca2ReMo crystal.

The space group is P2/m (No. 10) and the conventional cell measures 2.7844, 5.1084 and 5.5799 Å, with angles of 90.00, 90.53 and 90.00 degrees. Symmetry generates all atoms from Ca at (0.9997, 0.0000, 0.2473), Re at (0.5000, 0.5000, 0.0000) and Mo at (0.5000, 0.5000, 0.5000).

The calculation puts the offset from the most stable computed form at 486 meV/atom.


(3)
VASP calculation (PBE) on a relaxed ZnCdPb2 crystal.

The space group is P4/mmm (No. 123) and the conventional cell measures 3.4362, 3.4362 and 8.7737 Å, with angles of 90.00, 90.00 and 90.00 degrees. Symmetry generates all atoms from Zn at (0.0000, 0.0000, 0.0000), Cd at (0.0000, 0.0000, 0.5000) and Pb at (0.5000, 0.5000, 0.2316).

The calculation puts the offset from the most stable computed form at 37 meV/atom.


(4)
VASP calculation (PBE) on a relaxed Rb3Ho2I9 crystal.

The space group is R-3c (No. 167, hexagonal axes) and the conventional cell measures 14.7272, 14.7272 and 21.4307 Å, with angles of 90.00, 90.00 and 120.00 degrees. Symmetry generates all atoms from Rb at (0.0000, 0.3216, 0.2500), Ho at (0.0000, 0.0000, 0.1540), I at (0.0000, 0.1597, 0.7500) and I at (0.0105, 0.1806, 0.4108).

Its uncorrected formation energy is -1.430 eV per atom.


(5)
VASP calculation (PBE) on a relaxed GdCu2Pd crystal.

The space group is R-3m (No. 166, hexagonal axes) and the conventional cell measures 4.3427, 4.3427 and 13.3459 Å, with angles of 90.00, 90.00 and 120.00 degrees. Symmetry generates all atoms from Gd at (0.0000, 0.0000, 0.0000), Cu at (0.0000, 0.0000, 0.2111) and Pd at (0.0000, 0.0000, 0.5000).

The calculation puts the offset from the most stable computed form at 0 meV/atom.


(6)
VASP calculation (PBE) on a relaxed Na2Ho2Tl3 crystal.

The space group is Cmmm (No. 65) and the conventional cell measures 3.8280, 29.0691 and 3.7295 Å, with angles of 90.00, 90.00 and 90.00 degrees. Symmetry generates all atoms from Na at (0.0000, 0.1971, 0.0000), Ho at (0.0000, 0.0659, 0.0000), Tl at (0.0000, 0.3706, 0.5000) and Tl at (0.0000, 0.5000, 0.5000).

For the total energy, the calculation gives -40.516 eV per cell.


(7)
VASP calculation (PBE) on a relaxed Mn2InHPt crystal.

The space group is P4/mmm (No. 123) and the conventional cell measures 3.8678, 3.8678 and 4.3468 Å, with angles of 90.00, 90.00 and 90.00 degrees. Symmetry generates all atoms from Mn at (0.0000, 0.5000, 0.0000), In at (0.0000, 0.0000, 0.5000), H at (0.0000, 0.0000, 0.0000) and Pt at (0.5000, 0.5000, 0.5000).

For the total energy, the calculation gives -30.524 eV per cell.


(8)
VASP calculation (PBE) on a relaxed Dy2LuAg crystal.

The space group is R-3m (No. 166, hexagonal axes) and the conventional cell measures 3.5115, 3.5115 and 31.2716 Å, with angles of 90.00, 90.00 and 120.00 degrees. Symmetry generates all atoms from Dy at (0.0000, 0.0000, 0.2429), Lu at (0.0000, 0.0000, 0.0000) and Ag at (0.0000, 0.0000, 0.5000).

The calculation puts the offset from the most stable computed form at 107 meV/atom.


(9)
VASP calculation (PBE) on a relaxed BaMo2Se crystal.

The space group is P2/m (No. 10) and the conventional cell measures 3.8035, 5.0091 and 5.3399 Å, with angles of 90.00, 96.62 and 90.00 degrees. Symmetry generates all atoms from Ba at (0.0000, 0.0000, 0.0000), Mo at (0.2911, 0.5000, 0.6401) and Se at (0.5000, 0.0000, 0.5000).

Its uncorrected formation energy is 0.427 eV per atom.


(10)
VASP calculation (PBE) on a relaxed AcCePu crystal.

The space group is I4mm (No. 107) and the conventional cell measures 3.7250, 3.7250 and 14.0111 Å, with angles of 90.00, 90.00 and 90.00 degrees. Symmetry generates all atoms from Ac at (0.0000, 0.0000, 0.0000), Ce at (0.0000, 0.0000, 0.6992) and Pu at (0.0000, 0.0000, 0.3136).

The calculation puts the offset from the most stable computed form at 0 meV/atom.


(11)
VASP calculation (PBE) on a relaxed PC3S crystal.

The space group is Pm-3m (No. 221) and the conventional cell measures 3.6618, 3.6618 and 3.6618 Å, with angles of 90.00, 90.00 and 90.00 degrees. Symmetry generates all atoms from P at (0.0000, 0.0000, 0.0000), C at (0.0000, 0.0000, 0.5000) and S at (0.5000, 0.5000, 0.5000).

The calculation puts the offset from the most stable computed form at 0 meV/atom. Its uncorrected formation energy is 2.296 eV per atom.


(12)
VASP calculation (PBE) on a relaxed SiAsIrBr2 crystal.

The space group is P4/mmm (No. 123) and the conventional cell measures 4.7913, 4.7913 and 5.1031 Å, with angles of 90.00, 90.00 and 90.00 degrees. Symmetry generates all atoms from Si at (0.0000, 0.0000, 0.0000), As at (0.0000, 0.0000, 0.5000), Ir at (0.5000, 0.5000, 0.5000) and Br at (0.0000, 0.5000, 0.0000).

The calculation puts the offset from the most stable computed form at 464 meV/atom. Its uncorrected formation energy is 1.197 eV per atom.


(13)
VASP calculation (PBE) on a relaxed NaTe2NO crystal.

The space group is P4/mmm (No. 123) and the conventional cell measures 4.7065, 4.7065 and 4.2263 Å, with angles of 90.00, 90.00 and 90.00 degrees. Symmetry generates all atoms from Na at (0.0000, 0.0000, 0.0000), Te at (0.0000, 0.5000, 0.5000), N at (0.5000, 0.5000, 0.0000) and O at (0.5000, 0.5000, 0.5000).

The calculation puts the offset from the most stable computed form at 0 meV/atom. Its uncorrected formation energy is 0.808 eV per atom.


(14)
VASP calculation (PBE) on a relaxed MnCoOs2 crystal.

The space group is I-4m2 (No. 119) and the conventional cell measures 3.7123, 3.7123 and 7.4103 Å, with angles of 90.00, 90.00 and 90.00 degrees. Symmetry generates all atoms from Mn at (0.0000, 0.0000, 0.0000), Co at (0.0000, 0.5000, 0.2500), Os at (0.0000, 0.0000, 0.5000) and Os at (0.0000, 0.5000, 0.7500).

The calculation puts the offset from the most stable computed form at 0 meV/atom.


(15)
VASP calculation (PBE) on a relaxed CoTeCN2 crystal.

The space group is P4/mmm (No. 123) and the conventional cell measures 3.2732, 3.2732 and 7.4970 Å, with angles of 90.00, 90.00 and 90.00 degrees. Symmetry generates all atoms from Co at (0.0000, 0.0000, 0.0000), Te at (0.5000, 0.5000, 0.0000), C at (0.5000, 0.5000, 0.5000) and N at (0.0000, 0.5000, 0.5000).

The calculation puts the offset from the most stable computed form at 518 meV/atom. Its uncorrected formation energy is 2.253 eV per atom.


(16)
VASP calculation (PBE) on a relaxed CaRhCF crystal.

The space group is P1 (No. 1) and the conventional cell measures 3.3912, 3.3956 and 7.1058 Å, with angles of 102.58, 90.80 and 119.81 degrees. Symmetry generates all atoms from Ca at (0.0000, 0.0000, 0.0000), Rh at (0.5511, 0.1218, 0.6607), C at (0.2324, 0.4823, 0.7040) and F at (0.3847, 0.7596, 0.1506).

The calculation puts the offset from the most stable computed form at 0 meV/atom. Its uncorrected formation energy is -1.172 eV per atom.


(17)
VASP calculation (PBE) on a relaxed TmHfB4 crystal.

The space group is I-4m2 (No. 119) and the conventional cell measures 3.3859, 3.3859 and 11.2214 Å, with angles of 90.00, 90.00 and 90.00 degrees. Symmetry generates all atoms from Tm at (0.0000, 0.0000, 0.0000), Hf at (0.0000, 0.5000, 0.7500), B at (0.0000, 0.0000, 0.4162) and B at (0.0000, 0.5000, 0.1717).

For the total energy, the calculation gives -91.250 eV per cell.


(18)
VASP calculation (PBE) on a relaxed Pr5ThSe6 crystal.

The space group is C2/m (No. 12) and the conventional cell measures 7.3455, 12.7655 and 7.3932 Å, with angles of 90.00, 109.55 and 90.00 degrees. Symmetry generates all atoms from Pr at (0.0000, 0.0000, 0.0000), Pr at (0.0000, 0.1668, 0.5000), Pr at (0.0000, 0.3287, 0.0000), Th at (0.0000, 0.5000, 0.5000), Se at (0.2452, 0.5000, 0.2490) and Se at (0.2468, 0.3355, 0.7469).

Its uncorrected formation energy is -1.791 eV per atom.


(19)
VASP calculation (PBE) on a relaxed RbLaRh3 crystal.

The space group is Pm-3m (No. 221) and the conventional cell measures 4.9142, 4.9142 and 4.9142 Å, with angles of 90.00, 90.00 and 90.00 degrees. Symmetry generates all atoms from Rb at (0.0000, 0.0000, 0.0000), La at (0.5000, 0.5000, 0.5000) and Rh at (0.0000, 0.0000, 0.5000).

The calculation puts the offset from the most stable computed form at 566 meV/atom.


(20)
VASP calculation (PBE) on a relaxed Tm4GaAsSe2 crystal.

The space group is P2/m (No. 10) and the conventional cell measures 7.0925, 3.9905 and 7.1049 Å, with angles of 90.00, 108.79 and 90.00 degrees. Symmetry generates all atoms from Tm at (0.2471, 0.0000, 0.2419), Tm at (0.2510, 0.5000, 0.7640), Ga at (0.0000, 0.5000, 0.0000), As at (0.5000, 0.0000, 0.0000), Se at (0.0000, 0.0000, 0.5000) and Se at (0.5000, 0.5000, 0.5000).

Its uncorrected formation energy is -1.384 eV per atom.


(21)
VASP calculation (PBE) on a relaxed Ac3TmP2N6 crystal.

The space group is P-3m1 (No. 164) and the conventional cell measures 5.8068, 5.8068 and 6.7679 Å, with angles of 90.00, 90.00 and 120.00 degrees. Symmetry generates all atoms from Ac at (0.0000, 0.0000, 0.0000), Ac at (0.3333, 0.6667, 0.6560), Tm at (0.0000, 0.0000, 0.5000), P at (0.3333, 0.6667, 0.1908) and N at (0.1803, 0.3605, 0.2949).

Its uncorrected formation energy is -1.230 eV per atom.


(22)
VASP calculation (PBE) on a relaxed TaNb3Ge crystal.

The space group is Pm-3m (No. 221) and the conventional cell measures 4.8921, 4.8921 and 4.8921 Å, with angles of 90.00, 90.00 and 90.00 degrees. Symmetry generates all atoms from Ta at (0.0000, 0.0000, 0.0000), Nb at (0.0000, 0.0000, 0.5000) and Ge at (0.5000, 0.5000, 0.5000).

The calculation puts the offset from the most stable computed form at 1188 meV/atom.


(23)
VASP calculation (PBE) on a relaxed MnZn2TcCl crystal.

The space group is P4/mmm (No. 123) and the conventional cell measures 4.8145, 4.8145 and 4.2670 Å, with angles of 90.00, 90.00 and 90.00 degrees. Symmetry generates all atoms from Mn at (0.0000, 0.0000, 0.0000), Zn at (0.0000, 0.5000, 0.0000), Tc at (0.0000, 0.0000, 0.5000) and Cl at (0.5000, 0.5000, 0.5000).

Its uncorrected formation energy is 0.798 eV per atom.


(24)
VASP calculation (PBE) on a relaxed SmSc2Ni crystal.

The space group is Pnma (No. 62) and the conventional cell measures 6.5843, 9.1981 and 6.0623 Å, with angles of 90.00, 90.00 and 90.00 degrees. Symmetry generates all atoms from Sm at (0.0195, 0.2500, 0.1332), Sc at (0.1724, 0.0648, 0.6777) and Ni at (0.1092, 0.7500, 0.4195).

The calculation puts the offset from the most stable computed form at 0 meV/atom.


(25)
VASP calculation (PBE) on a relaxed NaAcPbI6 crystal.

The space group is P4_2nm (No. 102) and the conventional cell measures 7.7031, 7.7031 and 14.6071 Å, with angles of 90.00, 90.00 and 90.00 degrees. Symmetry generates all atoms from Na at (0.0000, 0.0000, 0.0000), Ac at (0.0000, 0.0000, 0.3330), Pb at (0.0000, 0.0000, 0.6663), I at (0.1982, 0.1982, 0.8352), I at (0.1992, 0.1992, 0.1648) and I at (0.1988, 0.1988, 0.5010).

Its uncorrected formation energy is -1.155 eV per atom.